DFT (PBE-GGA) results for a relaxed structure of BaCa2CrOs.

## Properties
size of the total moment: 0.399 μB per atom
energy relative to the elements: 626 meV/atom

Lattice parameters (Å, degrees): 5.6543 4.5511 5.6543 90.00 90.00 90.00
Atoms (fractional coordinates):
Cr 0.0000 0.0000 0.0000
Ca 0.0000 0.0000 0.5000
Ca 0.5000 0.0000 0.0000
Os 0.0000 0.5000 0.0000
Ba 0.5000 0.5000 0.5000


DFT (PBE-GGA) results for a relaxed structure of Pm4Sm2Er3.

## Properties
size of the total moment: 0.000 μB per atom
energy relative to the elements: 52 meV/atom
relative energy among the computed polymorphs: 36 meV/atom

Lattice parameters (Å, degrees): 3.6147 3.6147 26.6841 90.00 90.00 120.00
Atoms (fractional coordinates):
Pm 0.0000 0.0000 0.5459
Pm 0.6667 0.3333 0.4326
Pm 0.6667 0.3333 0.2191
Pm 0.0000 0.0000 0.7613
Sm 0.6667 0.3333 0.0857
Sm 0.6667 0.3333 0.8736
Er 0.0000 0.0000 0.9812
Er 0.0000 0.0000 0.3242
Er 0.6667 0.3333 0.6535


DFT (PBE-GGA) results for a relaxed structure of BaRhSe2N.

## Properties
size of the total moment: 0.478 μB per atom
raw formation energy: 1.621 eV/atom
relative energy among the computed polymorphs: 2073 meV/atom

Lattice parameters (Å, degrees): 5.9588 5.9588 4.5040 90.00 90.00 90.00
Atoms (fractional coordinates):
Rh 0.5000 0.5000 0.5000
Ba 0.0000 0.0000 0.0000
Se 0.0000 0.5000 0.0000
Se 0.5000 0.0000 0.0000
N 0.0000 0.0000 0.5000


DFT (PBE-GGA) results for a relaxed structure of CsInSi3.

## Properties
size of the total moment: 0.000 μB per atom
raw formation energy: 0.974 eV/atom
relative energy among the computed polymorphs: 0 meV/atom

Lattice parameters (Å, degrees): 5.4085 5.4085 5.4085 90.00 90.00 90.00
Atoms (fractional coordinates):
Cs 0.5000 0.5000 0.5000
Si 0.0000 0.5000 0.0000
Si 0.0000 0.0000 0.5000
Si 0.5000 0.0000 0.0000
In 0.0000 0.0000 0.0000


DFT (PBE-GGA) results for a relaxed structure of P2IrSe.

## Properties
size of the total moment: 0.000 μB per atom
raw formation energy: 0.612 eV/atom

Lattice parameters (Å, degrees): 4.5953 4.5953 2.8800 90.00 90.00 90.00
Atoms (fractional coordinates):
Ir 0.0000 0.5000 0.5000
P 0.0000 0.0000 0.0000
P 0.5000 0.5000 0.0000
Se 0.5000 0.0000 0.5000


DFT (PBE-GGA) results for a relaxed structure of Cs2Sr2Tl15.

## Properties
size of the total moment: 0.000 μB per atom
energy relative to the elements: -96 meV/atom

Lattice parameters (Å, degrees): 8.8298 8.8298 8.8298 81.99 81.99 81.99
Atoms (fractional coordinates):
Cs 0.3505 0.3505 0.3505
Cs 0.6495 0.6495 0.6495
Sr 0.1096 0.1096 0.1096
Sr 0.8904 0.8904 0.8904
Tl 0.5000 0.0000 0.0000
Tl 0.0000 0.0000 0.5000
Tl 0.0000 0.5000 0.0000
Tl 0.0000 0.7124 0.2876
Tl 0.7124 0.2876 0.0000
Tl 0.2876 0.0000 0.7124
Tl 0.2876 0.7124 0.0000
Tl 0.7124 0.0000 0.2876
Tl 0.0000 0.2876 0.7124
Tl 0.1473 0.6411 0.6411
Tl 0.6411 0.6411 0.1473
Tl 0.6411 0.1473 0.6411
Tl 0.8527 0.3589 0.3589
Tl 0.3589 0.3589 0.8527
Tl 0.3589 0.8527 0.3589